A relaxed structure of ZnIrPt2. Source: Alexandria, functional PBE.

a = 2.773 Å, b = 4.568 Å, c = 4.741 Å
α = 90.00°, β = 90.00°, γ = 90.00°
Sites, in units of the cell vectors:
1 Zn 0.000 0.000 0.000
2 Ir 0.000 0.500 0.617
3 Pt 0.500 0.000 0.510
4 Pt 0.500 0.500 0.121

Summary:
Density   17.9 g cm⁻³
ΔE_f   -198 meV/atom

---

A relaxed structure of ZnIrPt3. Source: Alexandria, functional PBE.

a = 4.849 Å, b = 4.849 Å, c = 4.849 Å
α = 90.00°, β = 90.00°, γ = 90.00°
Sites, in units of the cell vectors:
1 Zn 0.000 0.000 0.000
2 Ir 0.500 0.500 0.500
3 Pt 0.000 0.500 0.500
4 Pt 0.500 0.000 0.500
5 Pt 0.500 0.500 0.000

Summary:
E above lowest polymorph   0.068 kcal/mol of atoms
Density   12.3 g cm⁻³
ΔE_f   1248 meV/atom

---

A relaxed structure of Zn2IrPt. Source: Alexandria, functional PBE.

a = 5.102 Å, b = 5.102 Å, c = 4.585 Å
α = 112.58°, β = 112.58°, γ = 32.21°
Sites, in units of the cell vectors:
1 Zn 0.000 0.000 0.000
2 Zn 0.234 0.234 0.575
3 Ir 0.745 0.745 0.072
4 Pt 0.485 0.485 0.495

Summary:
Density   14.8 g cm⁻³
ΔE_f   -282 meV/atom

---

A relaxed structure of ZnIrPt. Source: Alexandria, functional PBE.

a = 4.226 Å, b = 2.733 Å, c = 4.547 Å
α = 90.00°, β = 102.79°, γ = 90.00°
Sites, in units of the cell vectors:
1 Zn 0.000 0.000 0.000
2 Ir 0.530 0.500 0.154
3 Pt 0.435 0.000 0.622

Summary:
E above lowest polymorph   3.407 kcal/mol of atoms
Density   14.7 g cm⁻³
ΔE_f   -4 meV/atom

---

Repeat the second record exactly.
A relaxed structure of ZnIrPt3. Source: Alexandria, functional PBE.

a = 4.849 Å, b = 4.849 Å, c = 4.849 Å
α = 90.00°, β = 90.00°, γ = 90.00°
Sites, in units of the cell vectors:
1 Zn 0.000 0.000 0.000
2 Ir 0.500 0.500 0.500
3 Pt 0.000 0.500 0.500
4 Pt 0.500 0.000 0.500
5 Pt 0.500 0.500 0.000

Summary:
E above lowest polymorph   0.068 kcal/mol of atoms
Density   12.3 g cm⁻³
ΔE_f   1248 meV/atom

---

What is the formula in the third record?
Zn2IrPt

---

Look up the density of the fourth one.
14.7 g cm⁻³